<a>
Computed, not measured: MnCdMo after structural relaxation at the PBE level of DFT.

Geometry as CIF:
```
data_MnCdMo
_cell_length_a 3.289
_cell_length_b 4.501
_cell_length_c 13.386
_cell_angle_alpha 90.00
_cell_angle_beta 90.00
_cell_angle_gamma 90.00
_space_group_name_H-M_alt 'F m m 2'
_space_group_IT_number 42
_space_group_name_Hall 'F 2 -2'
loop_
_atom_site_label
_atom_site_fract_x
_atom_site_fract_y
_atom_site_fract_z
Mn1 0.000 0.000 0.000
Cd1 0.000 0.000 0.674
Mo1 0.000 0.000 0.360
```

<b>
Computed, not measured: MnCdMo after structural relaxation at the PBE level of DFT.

Geometry as CIF:
```
data_MnCdMo
_cell_length_a 4.5124
_cell_length_b 4.5124
_cell_length_c 2.7336
_cell_angle_alpha 90.00
_cell_angle_beta 90.00
_cell_angle_gamma 120.00
_space_group_name_H-M_alt 'P 3 m 1'
_space_group_IT_number 156
loop_
_space_group_symop_operation_xyz
'x,y,z'
'-y,x-y,z'
'-x+y,-x,z'
'-y,-x,z'
'-x+y,y,z'
'x,x-y,z'
loop_
_atom_site_label
_atom_site_fract_x
_atom_site_fract_y
_atom_site_fract_z
Mn1 0.0000 0.0000 0.0000
Cd1 0.3333 0.6667 0.6737
Mo1 0.6667 0.3333 0.2346
```

Question: of the structures shown, which is the least stable? Reply: <b>.